(1)
ZrCd2Ni | PBE-GGA | optimized geometry

Properties
DFT total energy: -16.73 eV/f.u.
symmetry: Pmm2 (25)
calculated volume: 76.46 Å³ per cell
ΔE_f: -0.144 eV per atom

Cell lengths 3.0867, 3.1756, 7.8000 Å; angles 90.00, 90.00, 90.00 degrees
Closest atoms and distances in Å follow each position.
Fractional coordinates of all 4 atoms:
Zr1 0.0000 0.0000 0.0000  4 Ni 2.69
Cd1 0.0000 0.0000 0.4148  4 Ni 2.80, 2 Cd 3.09
Cd2 0.5000 0.5000 0.7028  8 Cd 3.09-3.18, 4 Zr 3.21
Ni1 0.5000 0.5000 0.1948  4 Zr 2.69, 4 Cd 2.80

(2)
ZrCdNi | PBE-GGA | optimized geometry

Properties
DFT total energy: -15.13 eV/f.u.
symmetry: P3m1 (156)
calculated volume: 58.23 Å³ per cell
ΔE_f: 0.037 eV per atom

Cell lengths 3.2451, 3.2451, 6.3853 Å; angles 90.00, 90.00, 120.00 degrees
Closest atoms and distances in Å follow each position.
Fractional coordinates of all 3 atoms:
Zr1 0.0000 0.0000 0.0000  3 Ni 2.57
Cd1 0.6667 0.3333 0.4055  3 Ni 2.77
Ni1 0.3333 0.6667 0.7251  3 Zr 2.57, 3 Cd 2.77

Q: Look up the ΔE_f of the second one.
A: 0.037 eV per atom